First-principles (PBE-GGA) data for a geometry-optimized Er4SiSnC structure, as listed in the Alexandria database.

Cell and atoms, written as CIF:
```
data_Er4SiSnC
_space_group_name_H-M_alt 'C m c m'
_space_group_IT_number 63
_space_group_name_Hall '-C 2c 2'
_cell_length_a 6.624
_cell_length_b 15.377
_cell_length_c 6.627
_cell_angle_alpha 90.00
_cell_angle_beta 90.00
_cell_angle_gamma 90.00
loop_
_atom_site_label
_atom_site_fract_x
_atom_site_fract_y
_atom_site_fract_z
Er1 0.000 0.082 0.250
Er2 0.000 0.409 0.250
Er3 0.250 0.250 0.000
Si1 0.000 0.116 0.750
Sn1 0.000 0.392 0.750
C1 0.000 0.248 0.250
```

Output
E_form (uncorrected): -58.1 kJ per mole of atoms
Raw total energy: -164.5 eV/cell

First-principles (PBE-GGA) data for a geometry-optimized Ho3Co2Ni7 structure, as listed in the Alexandria database.

Cell and atoms, written as CIF:
```
data_Ho3Co2Ni7
_space_group_name_H-M_alt 'R -3 m'
_space_group_IT_number 166
_space_group_name_Hall '-R 3 2"'
_cell_length_a 4.9470
_cell_length_b 4.9470
_cell_length_c 24.3708
_cell_angle_alpha 90.00
_cell_angle_beta 90.00
_cell_angle_gamma 120.00
loop_
_atom_site_label
_atom_site_fract_x
_atom_site_fract_y
_atom_site_fract_z
Ho1 0.0000 0.0000 0.0000
Ho2 0.0000 0.0000 0.1385
Co1 0.0000 0.0000 0.3330
Ni1 0.0000 0.0000 0.5000
Ni2 0.0005 0.5003 0.9185
```

Output
Raw total energy: -218.3 eV/cell
Formation energy: -363 meV/atom